Record 1
# TiTc2SnF, relaxed, DFT PBE
data_TiTc2SnF
_chemical_formula_sum 'Ti1 Tc2 Sn1 F1'
_cell_length_a 5.051
_cell_length_b 5.051
_cell_length_c 5.329
_cell_angle_alpha 90.00
_cell_angle_beta 90.00
_cell_angle_gamma 90.00
_space_group_name_H-M_alt 'P 4/m m m'
_space_group_IT_number 123
_space_group_name_Hall '-P 4 2'
loop_
_atom_site_label
_atom_site_fract_x
_atom_site_fract_y
_atom_site_fract_z
Ti1 0.000 0.000 0.000
Tc1 0.000 0.500 0.500
Sn1 0.000 0.000 0.500
F1 0.500 0.500 0.000
# Size of the total moment = 0.749 μB per atom
# Formation energy from raw total energies = 154 kJ/mol of atoms
# E above lowest polymorph = 0.706 eV per atom

***

Record 2
# LiOs2Br, relaxed, DFT PBE
data_LiOs2Br
_chemical_formula_sum 'Li2 Os4 Br2'
_cell_length_a 2.900
_cell_length_b 4.616
_cell_length_c 9.474
_cell_angle_alpha 90.00
_cell_angle_beta 90.00
_cell_angle_gamma 90.00
_space_group_name_H-M_alt 'I m m 2'
_space_group_IT_number 44
_space_group_name_Hall 'I 2 -2'
loop_
_atom_site_label
_atom_site_fract_x
_atom_site_fract_y
_atom_site_fract_z
Li1 0.000 0.000 0.000
Os1 0.000 0.000 0.509
Os2 0.000 0.500 0.788
Br1 0.000 0.500 0.237
# Size of the total moment = 0.000 μB per atom
# Formation energy from raw total energies = 91 kJ/mol of atoms
# E above lowest polymorph = 0.611 eV per atom

***

Record 3
# SrGdAlIn, relaxed, DFT PBE
data_SrGdAlIn
_chemical_formula_sum 'Sr4 Gd4 Al4 In4'
_cell_length_a 7.705
_cell_length_b 7.705
_cell_length_c 7.705
_cell_angle_alpha 90.00
_cell_angle_beta 90.00
_cell_angle_gamma 90.00
_space_group_name_H-M_alt 'F -4 3 m'
_space_group_IT_number 216
_space_group_name_Hall 'F -4 2 3'
loop_
_atom_site_label
_atom_site_fract_x
_atom_site_fract_y
_atom_site_fract_z
Sr1 0.000 0.000 0.000
Gd1 0.000 0.000 0.500
Al1 0.250 0.250 0.250
In1 0.250 0.250 0.750
# Size of the total moment = 1.819 μB per atom
# Formation enthalpy at 0 K = -0.280 eV per atom

***

Record 4
# Ac3BiS6, relaxed, DFT PBE
data_Ac3BiS6
_chemical_formula_sum 'Ac18 Bi6 S36'
_cell_length_a 12.4159
_cell_length_b 12.4159
_cell_length_c 14.4777
_cell_angle_alpha 90.00
_cell_angle_beta 90.00
_cell_angle_gamma 120.00
_space_group_name_H-M_alt 'R -3'
_space_group_IT_number 148
_space_group_name_Hall '-R 3'
loop_
_atom_site_label
_atom_site_fract_x
_atom_site_fract_y
_atom_site_fract_z
Ac1 0.0464 0.7780 0.2022
Bi1 0.0000 0.0000 0.0000
Bi2 0.0000 0.0000 0.5000
S1 0.0255 0.8147 0.4024
S2 0.0307 0.8409 0.8789
# Size of the total moment = 0.000 μB per atom
# Formation energy from raw total energies = -165 kJ/mol of atoms
# E above lowest polymorph = 0.009 eV per atom

***

Record 5
# LiAl5Ni6, relaxed, DFT PBE
data_LiAl5Ni6
_chemical_formula_sum 'Li2 Al10 Ni12'
_cell_length_a 7.088
_cell_length_b 12.165
_cell_length_c 4.053
_cell_angle_alpha 90.00
_cell_angle_beta 124.80
_cell_angle_gamma 90.00
_space_group_name_H-M_alt 'C 1 2/m 1'
_space_group_IT_number 12
_space_group_name_Hall '-C 2y'
loop_
_atom_site_label
_atom_site_fract_x
_atom_site_fract_y
_atom_site_fract_z
Li1 0.000 0.000 0.000
Al1 0.000 0.162 0.500
Al2 0.000 0.333 0.000
Al3 0.000 0.500 0.500
Ni1 0.244 0.500 0.243
Ni2 0.247 0.331 0.746
# Size of the total moment = 0.000 μB per atom
# Formation enthalpy at 0 K = -0.581 eV per atom

***

Record 6
# CdSbAs2, relaxed, DFT PBE
data_CdSbAs2
_chemical_formula_sum 'Cd1 Sb1 As2'
_cell_length_a 3.166
_cell_length_b 3.766
_cell_length_c 7.510
_cell_angle_alpha 90.00
_cell_angle_beta 90.00
_cell_angle_gamma 90.00
_space_group_name_H-M_alt 'P m m m'
_space_group_IT_number 47
_space_group_name_Hall '-P 2 2'
loop_
_atom_site_label
_atom_site_fract_x
_atom_site_fract_y
_atom_site_fract_z
Cd1 0.000 0.000 0.000
Sb1 0.000 0.000 0.500
As1 0.500 0.500 0.246
# Size of the total moment = 0.000 μB per atom
# Formation energy from raw total energies = 28 kJ/mol of atoms
# E above lowest polymorph = 0.244 eV per atom

***

Record 7
# Li2Mg3AgHg3, relaxed, DFT PBE
data_Li2Mg3AgHg3
_chemical_formula_sum 'Li2 Mg3 Ag1 Hg3'
_cell_length_a 8.0459
_cell_length_b 8.0459
_cell_length_c 3.1449
_cell_angle_alpha 90.00
_cell_angle_beta 90.00
_cell_angle_gamma 120.00
_space_group_name_H-M_alt 'P -6 2 m'
_space_group_IT_number 189
_space_group_name_Hall 'P -6 -2'
loop_
_atom_site_label
_atom_site_fract_x
_atom_site_fract_y
_atom_site_fract_z
Li1 0.3333 0.6667 0.0000
Mg1 0.0000 0.2898 0.0000
Ag1 0.0000 0.0000 0.5000
Hg1 0.0000 0.6197 0.5000
# Size of the total moment = 0.000 μB per atom
# Formation enthalpy at 0 K = -0.219 eV per atom

***

Record 8
# NdAsH2Rh, relaxed, DFT PBE
data_NdAsH2Rh
_chemical_formula_sum 'Nd4 As4 H8 Rh4'
_cell_length_a 3.919
_cell_length_b 10.435
_cell_length_c 6.634
_cell_angle_alpha 90.00
_cell_angle_beta 90.00
_cell_angle_gamma 90.00
_space_group_name_H-M_alt 'C m c m'
_space_group_IT_number 63
_space_group_name_Hall '-C 2c 2'
loop_
_atom_site_label
_atom_site_fract_x
_atom_site_fract_y
_atom_site_fract_z
Nd1 0.000 0.217 0.250
As1 0.000 0.062 0.750
H1 0.000 0.338 0.556
Rh1 0.000 0.500 0.000
# Energy = -5.39 eV/atom
# Size of the total moment = 0.000 μB per atom

***

Record 9
# Li6Cd3Ge, relaxed, DFT PBE
data_Li6Cd3Ge
_chemical_formula_sum 'Li12 Cd6 Ge2'
_cell_length_a 7.847
_cell_length_b 4.684
_cell_length_c 10.332
_cell_angle_alpha 90.00
_cell_angle_beta 110.85
_cell_angle_gamma 90.00
_space_group_name_H-M_alt 'P 1 21/m 1'
_space_group_IT_number 11
_space_group_name_Hall '-P 2yb'
loop_
_atom_site_label
_atom_site_fract_x
_atom_site_fract_y
_atom_site_fract_z
Li1 0.011 0.250 0.147
Li2 0.183 0.750 0.626
Li3 0.190 0.250 0.979
Li4 0.390 0.750 0.418
Li5 0.391 0.250 0.259
Li6 0.417 0.250 0.776
Cd1 0.008 0.250 0.686
Cd2 0.217 0.250 0.478
Cd3 0.378 0.750 0.928
Ge1 0.212 0.750 0.143
# Size of the total moment = 0.000 μB per atom
# Formation enthalpy at 0 K = -0.252 eV per atom
# E above lowest polymorph = 0.000 eV per atom

***

Record 10
# NaTi3Ni2S6, relaxed, DFT PBE
data_NaTi3Ni2S6
_chemical_formula_sum 'Na2 Ti6 Ni4 S12'
_cell_length_a 18.210
_cell_length_b 3.583
_cell_length_c 7.758
_cell_angle_alpha 90.00
_cell_angle_beta 115.17
_cell_angle_gamma 90.00
_space_group_name_H-M_alt 'C 1 2/m 1'
_space_group_IT_number 12
_space_group_name_Hall '-C 2y'
loop_
_atom_site_label
_atom_site_fract_x
_atom_site_fract_y
_atom_site_fract_z
Na1 0.000 0.000 0.000
Ti1 0.000 0.000 0.500
Ti2 0.163 0.500 0.504
Ni1 0.234 0.500 0.272
S1 0.018 0.500 0.303
S2 0.144 0.000 0.707
S3 0.171 0.000 0.273
# Size of the total moment = 0.000 μB per atom
# Formation energy from raw total energies = -105 kJ/mol of atoms

***

Record 11
# La2Er6Tm, relaxed, DFT PBE
data_La2Er6Tm
_chemical_formula_sum 'La4 Er12 Tm2'
_cell_length_a 16.926
_cell_length_b 9.768
_cell_length_c 3.473
_cell_angle_alpha 90.00
_cell_angle_beta 90.08
_cell_angle_gamma 90.00
_space_group_name_H-M_alt 'C 1 2/m 1'
_space_group_IT_number 12
_space_group_name_Hall '-C 2y'
loop_
_atom_site_label
_atom_site_fract_x
_atom_site_fract_y
_atom_site_fract_z
La1 0.167 0.000 0.000
Er1 0.000 0.171 0.500
Er2 0.165 0.335 0.500
Tm1 0.000 0.500 0.000
# Size of the total moment = 0.000 μB per atom
# Formation enthalpy at 0 K = 0.078 eV per atom
# E above lowest polymorph = 0.040 eV per atom

***

Record 12
# SrHF3, relaxed, DFT PBE
data_SrHF3
_chemical_formula_sum 'Sr4 H4 F12'
_cell_length_a 5.882
_cell_length_b 6.370
_cell_length_c 8.893
_cell_angle_alpha 90.00
_cell_angle_beta 113.25
_cell_angle_gamma 90.00
_space_group_name_H-M_alt 'P 1 21/c 1'
_space_group_IT_number 14
_space_group_name_Hall '-P 2ybc'
loop_
_atom_site_label
_atom_site_fract_x
_atom_site_fract_y
_atom_site_fract_z
Sr1 0.174 0.154 0.204
H1 0.291 0.558 0.057
F1 0.115 0.136 0.916
F2 0.196 0.610 0.925
F3 0.394 0.501 0.191
# Size of the total moment = 0.015 μB per atom
# E above lowest polymorph = 0.000 eV per atom